Computed, not measured: a geometry-optimized Ca3SN structure at the PBE-GGA level of DFT.

Raw formation energy ... -1.01 eV/atom
Magnetic moment ... 0.000 Bohr magnetons per cell
Energy above the lowest structure with this stoichiometry ... 227 meV per atom
Symmetry ... Pm-3m, No. 221

a b c (Å): 4.779 4.779 4.779
angles (deg): 90.00 90.00 90.00
Atoms (fractional coordinates):
Ca  0.500  0.000  0.000
S  0.500  0.500  0.500
Ca  0.000  0.000  0.500
Ca  0.000  0.500  0.000
N  0.000  0.000  0.000

---

Computed, not measured: a geometry-optimized TmCuNiGe2 structure at the PBE-GGA level of DFT.

Magnetic moment ... 0.000 Bohr magnetons per cell
Symmetry ... I-4m2, No. 119
DFT formation energy ... -0.56 eV/atom

a b c (Å): 4.022 4.022 5.791
angles (deg): 110.32 110.32 90.00
Atoms (fractional coordinates):
Ni  0.750  0.250  0.500
Tm  0.000  0.000  0.000
Cu  0.250  0.750  0.500
Ge  0.378  0.378  0.756
Ge  0.622  0.622  0.244

---

Computed, not measured: a geometry-optimized LiRu2Cl structure at the PBE-GGA level of DFT.

Raw formation energy ... 0.11 eV/atom
Magnetic moment ... 0.000 Bohr magnetons per cell
Energy above the lowest structure with this stoichiometry ... 164 meV per atom
Symmetry ... Cm, No. 8

a b c (Å): 3.751 3.751 7.719
angles (deg): 70.54 70.54 45.63
Atoms (fractional coordinates):
Li  0.241  0.241  0.291
Cl  0.466  0.466  0.464
Ru  0.998  0.998  0.959
Ru  0.796  0.796  0.786

---

Q: magnetic moment of number 1 (Ca3SN)?
A: 0.000 Bohr magnetons per cell